1.
This record from the Alexandria database describes an optimized crystal structure of Tb3Sm3Dy2. The functional is PBE.

The calculation puts the energy of formation from the pure elements at 68 kJ/mol of formula units.

The structure belongs to space group C2/m (No. 12); the cell edges are 16.268, 5.745 and 6.017 Å and the angles 90.00°, 111.11° and 90.00°. The inequivalent atoms are Tb at (0.000, 0.000, 0.000), Tb at (0.132, 0.000, 0.578), Sm at (0.000, 0.500, 0.500), Sm at (0.134, 0.500, 0.193) and Dy at (0.250, 0.000, 0.182).

***

2.
This record from the Alexandria database describes an optimized crystal structure of TbSm2Dy4. The functional is PBE.

The excess energy over the best structure of this formula in the dataset comes out at 0.62 eV per formula unit. The calculation puts the energy of formation from the pure elements at 90 kJ/mol of formula units.

The structure belongs to space group P2_1/m (No. 11); the cell edges are 6.072, 6.612 and 11.655 Å and the angles 90.00°, 104.85° and 90.00°. The inequivalent atoms are Tb at (0.022, 0.250, 0.357), Sm at (0.155, 0.250, 0.946), Sm at (0.401, 0.750, 0.507), Dy at (0.147, 0.250, 0.661), Dy at (0.284, 0.750, 0.927) and Dy at (0.347, 0.505, 0.212).

***

3.
This record from the Alexandria database describes an optimized crystal structure of Tb5Sm2Dy4. The functional is PBE.

The excess energy over the best structure of this formula in the dataset comes out at 0.00 eV per formula unit. The calculation puts the energy of formation from the pure elements at 49 kJ/mol of formula units.

The structure belongs to space group P-1 (No. 2); the cell edges are 3.534, 8.799 and 11.700 Å and the angles 84.74°, 89.97° and 78.42°. The inequivalent atoms are Tb at (0.000, 0.000, 0.000), Tb at (0.093, 0.815, 0.543), Tb at (0.460, 0.080, 0.719), Sm at (0.137, 0.727, 0.814), Dy at (0.231, 0.537, 0.354) and Dy at (0.322, 0.358, 0.927).

***

4.
This record from the Alexandria database describes an optimized crystal structure of Tb3Sm2Dy2. The functional is PBE.

The excess energy over the best structure of this formula in the dataset comes out at 0.00 eV per formula unit. The calculation puts the energy of formation from the pure elements at 10 kJ/mol of formula units.

The structure belongs to space group C2/m (No. 12); the cell edges are 11.836, 3.572 and 10.738 Å and the angles 90.00°, 95.79° and 90.00°. The inequivalent atoms are Tb at (0.000, 0.000, 0.000), Tb at (0.143, 0.000, 0.571), Sm at (0.214, 0.500, 0.856) and Dy at (0.071, 0.500, 0.287).